Entry from Alexandria via LeMat-Bulk: a geometry-optimized RbZrGa structure (PBE-GGA).

Polymorph energy (0 for the lowest one) = 0.194 eV per atom
Space-group type = No. 67

Cell lengths 4.8372, 4.8372, 8.6594 Å; angles 90.00, 90.00, 96.78 degrees
Atoms (fractional coordinates):
Rb  0.2500  0.7500  0.8624
Rb  0.7500  0.2500  0.1376
Zr  0.2500  0.2500  0.5000
Zr  0.7500  0.7500  0.5000
Ga  0.2500  0.7500  0.3364
Ga  0.7500  0.2500  0.6636